The following is a PBE-GGA calculation of a relaxed structure of CsBe2Cl4, from Alexandria.

abc: 3.581 31.113 3.450
angles: 90.00 90.00 90.00
Fractional coordinates of all 14 atoms:
Cs1 0.000 0.000 0.000
Cs2 0.500 0.500 0.000
Be1 0.000 0.357 0.500
Be2 0.000 0.643 0.500
Be3 0.500 0.143 0.500
Be4 0.500 0.857 0.500
Cl1 0.000 0.107 0.500
Cl2 0.000 0.320 0.000
Cl3 0.000 0.680 0.000
Cl4 0.000 0.893 0.500
Cl5 0.500 0.180 0.000
Cl6 0.500 0.393 0.500
Cl7 0.500 0.607 0.500
Cl8 0.500 0.820 0.000

Calculated values
SG: Cmmm (65)
uncorrected formation energy: -1.023 eV per atom


The following is a PBE-GGA calculation of a relaxed structure of PmGe3Ru2, from Alexandria.

abc: 6.164 6.164 5.784
angles: 90.00 90.00 78.13
Fractional coordinates of all 12 atoms:
Pm1 0.150 0.850 0.750
Pm2 0.850 0.150 0.250
Ge1 0.045 0.621 0.250
Ge2 0.379 0.955 0.250
Ge3 0.473 0.527 0.250
Ge4 0.527 0.473 0.750
Ge5 0.621 0.045 0.750
Ge6 0.955 0.379 0.750
Ru1 0.290 0.290 0.000
Ru2 0.290 0.290 0.500
Ru3 0.710 0.710 0.000
Ru4 0.710 0.710 0.500

Calculated values
SG: Cmcm (63)
formation enthalpy at 0 K: -256.2 kJ/mol of formula units


The following is a PBE-GGA calculation of a relaxed structure of LaCoH8Ir2, from Alexandria.

abc: 5.925 5.925 5.925
angles: 46.54 46.54 46.54
Fractional coordinates of all 12 atoms:
La1 0.000 0.000 0.000
Co1 0.500 0.500 0.500
H1 0.148 0.558 0.558
H2 0.314 0.314 0.314
H3 0.442 0.442 0.852
H4 0.442 0.852 0.442
H5 0.558 0.148 0.558
H6 0.558 0.558 0.148
H7 0.686 0.686 0.686
H8 0.852 0.442 0.442
Ir1 0.210 0.210 0.210
Ir2 0.790 0.790 0.790

Calculated values
SG: R-3m (166)
uncorrected energy: -4.902 eV per atom


The following is a PBE-GGA calculation of a relaxed structure of LiHfAlO4, from Alexandria.

abc: 6.045 6.045 6.045
angles: 122.69 116.96 90.38
Fractional coordinates of all 14 atoms:
Li1 0.377 0.127 0.250
Li2 0.623 0.873 0.750
Hf1 0.000 0.500 0.500
Hf2 0.500 0.500 0.000
Al1 0.000 0.000 0.500
Al2 0.000 0.500 0.000
O1 0.199 0.743 0.456
O2 0.213 0.257 0.956
O3 0.235 0.250 0.516
O4 0.235 0.719 0.984
O5 0.765 0.281 0.016
O6 0.765 0.750 0.484
O7 0.787 0.743 0.044
O8 0.801 0.257 0.544

Calculated values
SG: Imma (74)
uncorrected formation energy: -2.969 eV per atom


The following is a PBE-GGA calculation of a relaxed structure of Hf2HgPRh, from Alexandria.

abc: 4.910 4.910 5.034
angles: 90.00 90.00 90.00
Fractional coordinates of all 5 atoms:
Hf1 0.000 0.500 0.000
Hf2 0.500 0.000 0.000
Hg1 0.000 0.000 0.500
P1 0.500 0.500 0.500
Rh1 0.000 0.000 0.000

Calculated values
SG: P4/mmm (123)
formation enthalpy at 0 K: 188.6 kJ/mol of formula units


The following is a PBE-GGA calculation of a relaxed structure of PtBr2, from Alexandria.

abc: 4.686 4.686 3.188
angles: 90.00 90.00 90.00
Fractional coordinates of all 3 atoms:
Pt1 0.000 0.000 0.000
Br1 0.000 0.500 0.500
Br2 0.500 0.000 0.500

Calculated values
SG: P4/mmm (123)
uncorrected formation energy: 0.384 eV per atom


The following is a PBE-GGA calculation of a relaxed structure of Sm3Cu2Pt6, from Alexandria.

abc: 8.272 8.272 8.272
angles: 109.47 109.47 109.47
Fractional coordinates of all 22 atoms:
Sm1 0.000 0.300 0.300
Sm2 0.000 0.700 0.700
Sm3 0.300 0.000 0.300
Sm4 0.300 0.300 0.000
Sm5 0.700 0.000 0.700
Sm6 0.700 0.700 0.000
Cu1 0.000 0.000 0.500
Cu2 0.000 0.500 0.000
Cu3 0.500 0.000 0.000
Cu4 0.500 0.500 0.500
Pt1 0.000 0.330 0.670
Pt2 0.000 0.670 0.330
Pt3 0.330 0.000 0.670
Pt4 0.330 0.330 0.661
Pt5 0.330 0.661 0.330
Pt6 0.330 0.670 0.000
Pt7 0.339 0.670 0.670
Pt8 0.661 0.330 0.330
Pt9 0.670 0.000 0.330
Pt10 0.670 0.330 0.000
Pt11 0.670 0.339 0.670
Pt12 0.670 0.670 0.339

Calculated values
SG: Im-3m (229)
formation enthalpy at 0 K: -874.5 kJ/mol of formula units


The following is a PBE-GGA calculation of a relaxed structure of La3DyRh8, from Alexandria.

abc: 5.416 5.416 9.397
angles: 106.66 106.66 60.04
Fractional coordinates of all 12 atoms:
La1 0.000 0.000 0.000
La2 0.125 0.125 0.375
La3 0.500 0.500 0.500
Dy1 0.625 0.625 0.876
Rh1 0.060 0.562 0.184
Rh2 0.064 0.064 0.691
Rh3 0.064 0.564 0.691
Rh4 0.312 0.312 0.937
Rh5 0.562 0.060 0.184
Rh6 0.562 0.562 0.184
Rh7 0.564 0.064 0.691
Rh8 0.813 0.813 0.438

Calculated values
SG: Cm (8)
formation enthalpy at 0 K: -812.9 kJ/mol of formula units


The following is a PBE-GGA calculation of a relaxed structure of LiYTmGa, from Alexandria.

abc: 7.163 7.163 7.163
angles: 90.00 90.00 90.00
Fractional coordinates of all 16 atoms:
Li1 0.000 0.000 0.000
Li2 0.000 0.500 0.500
Li3 0.500 0.000 0.500
Li4 0.500 0.500 0.000
Y1 0.250 0.250 0.750
Y2 0.250 0.750 0.250
Y3 0.750 0.250 0.250
Y4 0.750 0.750 0.750
Tm1 0.250 0.250 0.250
Tm2 0.250 0.750 0.750
Tm3 0.750 0.250 0.750
Tm4 0.750 0.750 0.250
Ga1 0.000 0.000 0.500
Ga2 0.000 0.500 0.000
Ga3 0.500 0.000 0.000
Ga4 0.500 0.500 0.500

Calculated values
SG: F-43m (216)
formation enthalpy at 0 K: -126.4 kJ/mol of formula units


The following is a PBE-GGA calculation of a relaxed structure of Ca4SbPt, from Alexandria.

abc: 5.037 5.037 7.536
angles: 90.00 90.00 90.00
Fractional coordinates of all 6 atoms:
Ca1 0.000 0.500 0.228
Ca2 0.000 0.500 0.772
Ca3 0.500 0.000 0.228
Ca4 0.500 0.000 0.772
Sb1 0.000 0.000 0.500
Pt1 0.500 0.500 0.000

Calculated values
SG: P4/mmm (123)
E above lowest polymorph: 0.00 eV/f.u.
uncorrected formation energy: -0.752 eV per atom


The following is a PBE-GGA calculation of a relaxed structure of PuTl3Hg12, from Alexandria.

abc: 4.862 4.438 20.469
angles: 90.00 94.70 90.00
Fractional coordinates of all 16 atoms:
Pu1 0.000 0.000 0.000
Tl1 0.000 0.000 0.500
Tl2 0.057 0.000 0.247
Tl3 0.943 0.000 0.753
Hg1 0.008 0.500 0.372
Hg2 0.045 0.500 0.119
Hg3 0.446 0.500 0.760
Hg4 0.461 0.000 0.884
Hg5 0.486 0.000 0.626
Hg6 0.500 0.500 0.000
Hg7 0.500 0.500 0.500
Hg8 0.514 0.000 0.374
Hg9 0.539 0.000 0.116
Hg10 0.554 0.500 0.240
Hg11 0.955 0.500 0.881
Hg12 0.992 0.500 0.628

Calculated values
SG: P2/m (10)
formation enthalpy at 0 K: -66.3 kJ/mol of formula units


The following is a PBE-GGA calculation of a relaxed structure of CaGeAs2Se, from Alexandria.

abc: 5.334 5.334 5.333
angles: 90.00 90.00 90.00
Fractional coordinates of all 5 atoms:
Ca1 0.000 0.000 0.000
Ge1 0.500 0.500 0.500
As1 0.000 0.500 0.000
As2 0.500 0.000 0.000
Se1 0.000 0.000 0.500

Calculated values
SG: P4/mmm (123)
E above lowest polymorph: 3.55 eV/f.u.
uncorrected formation energy: 0.664 eV per atom